CePr2AgSe5 | PBE-GGA | relaxed

Cell lengths 4.207, 9.077, 12.693 Å; angles 90.00, 90.00, 103.40 degrees
Fractional positions:
Se: 0.289 0.579 0.670
Pr: 0.889 0.777 0.185
Ce: 0.197 0.393 0.007
Se: 0.638 0.275 0.500
Pr: 0.124 0.248 0.307
Pr: 0.111 0.223 0.685
Se: 0.045 0.090 0.079
Pr: 0.876 0.752 0.807
Ce: 0.803 0.607 0.507
Se: 0.498 0.996 0.771
Se: 0.362 0.725 0.000
Se: 0.502 0.004 0.271
Se: 0.955 0.910 0.579
Ag: 0.549 0.099 0.961
Se: 0.309 0.618 0.343
Ag: 0.451 0.901 0.461
Se: 0.711 0.421 0.170
Se: 0.691 0.382 0.843

Values from the calculation:
Formation energy from raw total energies = -1.52 eV/atom
Final energy = -5.50 eV per atom